Entry 1:
A geometry-optimized YBrCl2 structure, computed with PBE-GGA.

Geometry as extended XYZ:
```
4
Lattice="-1.040 4.641 4.878 -2.210 1.465 6.276 4.678 0.615 5.314" Properties=species:S:1:pos:R:3 pbc="T T T"
Y 1.357 3.416 8.897
Br 0.987 1.168 3.479
Cl 4.220 0.563 4.812
Cl 0.255 5.552 12.827
```

Properties
ΔE_f (raw) ... -201 kJ per mole of atoms
SG ... Cm, No. 8
D(E_F) ... 0.00 states/eV/cell


Entry 2:
A geometry-optimized YBr2Cl structure, computed with PBE-GGA.

Geometry as extended XYZ:
```
8
Lattice="-0.658 -10.188 -0.643 9.705 -0.824 3.126 3.700 -5.612 3.769" Properties=species:S:1:pos:R:3 pbc="T T T"
Y 0.000 0.000 0.000
Y 3.783 -10.654 2.184
Br 1.630 -9.378 0.837
Br 6.348 -11.876 2.268
Br 4.735 -8.217 3.297
Br 2.419 -13.143 2.335
Cl 4.524 -5.506 1.242
Cl 8.965 -5.971 4.069
```

Properties
ΔE_f (raw) ... -180 kJ per mole of atoms
SG ... I-42d, No. 122
D(E_F) ... 0.00 states/eV/cell


Entry 3:
A geometry-optimized Y4BrCl structure, computed with PBE-GGA.

Geometry as extended XYZ:
```
6
Lattice="0.000 4.690 4.690 4.690 0.000 4.690 4.690 4.690 0.000" Properties=species:S:1:pos:R:3 pbc="T T T"
Y 3.519 5.861 5.861
Y 5.861 5.861 3.519
Y 5.861 3.519 5.861
Y 3.519 3.519 3.519
Br 7.035 7.035 7.035
Cl 0.000 0.000 0.000
```

Properties
ΔE_f (raw) ... 18 kJ per mole of atoms
SG ... F-43m, No. 216
D(E_F) ... 6.64 states/eV/cell


Entry 4:
A geometry-optimized YBr2Cl structure, computed with PBE-GGA.

Geometry as extended XYZ:
```
4
Lattice="4.123 0.000 0.000 -0.001 5.304 0.001 -2.058 -2.649 6.868" Properties=species:S:1:pos:R:3 pbc="T T T"
Y 0.003 -2.602 6.868
Br 0.000 0.048 1.928
Br 2.065 2.702 4.941
Cl 2.061 2.699 0.000
```

Properties
ΔE_f (raw) ... -192 kJ per mole of atoms
SG ... Immm, No. 71
D(E_F) ... 0.00 states/eV/cell


Entry 5:
A geometry-optimized Y2BrCl2 structure, computed with PBE-GGA.

Geometry as extended XYZ:
```
10
Lattice="-0.091 -4.800 6.544 -4.775 -5.260 -3.925 2.797 -1.660 -1.178" Properties=species:S:1:pos:R:3 pbc="T T T"
Y -4.045 -6.056 -1.070
Y -3.226 -7.503 2.912
Y -0.822 -4.004 3.690
Y -1.641 -2.557 -0.293
Br 0.000 0.000 0.000
Br -2.433 -5.030 1.310
Cl -1.657 -4.840 -2.192
Cl -2.780 -8.427 0.194
Cl -0.413 -6.880 3.633
Cl 0.710 -3.293 1.247
```

Properties
ΔE_f (raw) ... -126 kJ per mole of atoms
SG ... P4/mbm, No. 127
D(E_F) ... 6.06 states/eV/cell


Entry 6:
A geometry-optimized YBr2Cl structure, computed with PBE-GGA.

Geometry as extended XYZ:
```
4
Lattice="-3.775 -0.305 0.535 0.597 -1.005 3.642 -0.321 7.870 2.224" Properties=species:S:1:pos:R:3 pbc="T T T"
Y -1.806 4.667 3.592
Br -0.296 7.261 2.052
Br -1.701 2.089 2.864
Cl -0.177 4.347 1.228
```

Properties
ΔE_f (raw) ... -135 kJ per mole of atoms
SG ... P4mm, No. 99
D(E_F) ... 1.28 states/eV/cell


Entry 7:
A geometry-optimized YBrCl2 structure, computed with PBE-GGA.

Geometry as extended XYZ:
```
4
Lattice="-2.398 2.596 -0.283 -2.353 -1.981 1.763 2.382 2.902 6.439" Properties=species:S:1:pos:R:3 pbc="T T T"
Y -1.780 1.033 2.350
Br -0.589 2.485 5.569
Cl 0.130 0.159 0.352
Cl 1.061 1.293 2.868
```

Properties
ΔE_f (raw) ... -134 kJ per mole of atoms
SG ... P4/mmm, No. 123
D(E_F) ... 1.70 states/eV/cell


Entry 8:
A geometry-optimized YBr4Cl structure, computed with PBE-GGA.

Geometry as extended XYZ:
```
6
Lattice="4.557 -0.972 3.914 3.671 4.584 1.596 -0.278 2.303 5.626" Properties=species:S:1:pos:R:3 pbc="T T T"
Y 0.000 0.000 0.000
Br 5.262 1.730 6.134
Br 2.840 3.371 6.992
Br 4.818 4.514 4.973
Br 2.979 2.217 4.173
Cl 5.962 4.437 8.352
```

Properties
ΔE_f (raw) ... -26 kJ per mole of atoms
SG ... F-43m, No. 216
D(E_F) ... 4.89 states/eV/cell


Entry 9:
A geometry-optimized YBrCl2 structure, computed with PBE-GGA.

Geometry as extended XYZ:
```
8
Lattice="-0.787 6.749 -1.659 2.748 -3.785 -5.201 -6.845 -2.879 1.732" Properties=species:S:1:pos:R:3 pbc="T T T"
Y -1.745 -2.051 -1.749
Y -6.291 -0.140 0.244
Br -2.327 -1.432 -4.433
Br -0.077 3.502 -4.124
Cl -3.983 -1.096 -0.671
Cl -1.833 3.806 -0.998
Cl -0.552 0.319 -1.545
Cl -3.018 -4.301 -2.373
```

Properties
ΔE_f (raw) ... -205 kJ per mole of atoms
SG ... Cc, No. 9
D(E_F) ... 0.00 states/eV/cell


Entry 10:
A geometry-optimized YBrCl2 structure, computed with PBE-GGA.

Geometry as extended XYZ:
```
4
Lattice="4.671 -0.006 -0.012 -2.037 5.339 0.028 0.598 1.990 4.179" Properties=species:S:1:pos:R:3 pbc="T T T"
Y -0.719 3.665 2.104
Br 1.317 2.667 0.008
Cl 0.000 0.000 0.000
Cl 2.635 0.992 2.084
```

Properties
ΔE_f (raw) ... -112 kJ per mole of atoms
SG ... Fmmm, No. 69
D(E_F) ... 1.14 states/eV/cell


Entry 11:
A geometry-optimized YBr2Cl structure, computed with PBE-GGA.

Geometry as extended XYZ:
```
4
Lattice="8.234 0.139 -0.235 7.364 3.685 -0.235 1.680 0.412 4.744" Properties=species:S:1:pos:R:3 pbc="T T T"
Y 4.319 1.059 1.069
Br 14.091 3.455 0.092
Br 10.146 2.488 1.575
Cl 12.958 3.177 3.206
```

Properties
ΔE_f (raw) ... -167 kJ per mole of atoms
SG ... Immm, No. 71
D(E_F) ... 0.00 states/eV/cell


Entry 12:
A geometry-optimized YBr2Cl structure, computed with PBE-GGA.

Geometry as extended XYZ:
```
4
Lattice="5.406 -0.001 0.000 1.256 5.258 0.000 -3.331 -2.629 3.350" Properties=species:S:1:pos:R:3 pbc="T T T"
Y 2.703 0.000 1.675
Br 0.000 0.000 0.000
Br 0.628 2.629 1.675
Cl 3.331 2.629 0.000
```

Properties
ΔE_f (raw) ... -131 kJ per mole of atoms
SG ... I-4m2, No. 119
D(E_F) ... 0.00 states/eV/cell


Entry 13:
A geometry-optimized Y2BrCl5 structure, computed with PBE-GGA.

Geometry as extended XYZ:
```
8
Lattice="4.594 0.000 0.000 2.297 6.750 0.296 2.297 1.531 6.581" Properties=species:S:1:pos:R:3 pbc="T T T"
Y 6.892 6.142 5.100
Y 2.297 2.139 1.776
Br 0.000 0.000 0.000
Cl 2.297 4.140 3.438
Cl 4.594 3.751 1.108
Cl 4.594 4.530 5.769
Cl 4.594 6.503 3.393
Cl 4.594 1.778 3.483
```

Properties
ΔE_f (raw) ... -191 kJ per mole of atoms
SG ... Immm, No. 71
D(E_F) ... 0.00 states/eV/cell


Entry 14:
A geometry-optimized YBrCl2 structure, computed with PBE-GGA.

Geometry as extended XYZ:
```
4
Lattice="-11.318 3.454 4.754 -8.993 4.625 7.769 -9.570 7.032 4.647" Properties=species:S:1:pos:R:3 pbc="T T T"
Y 0.000 0.000 0.000
Br -14.941 7.555 8.585
Cl -27.952 14.135 16.062
Cl -1.929 0.976 1.109
```

Properties
ΔE_f (raw) ... -58 kJ per mole of atoms
SG ... R-3m, No. 166
D(E_F) ... 2.99 states/eV/cell


Entry 15:
A geometry-optimized YBrCl2 structure, computed with PBE-GGA.

Geometry as extended XYZ:
```
4
Lattice="-4.796 -9.042 -0.693 -1.179 -10.106 -1.311 -2.466 -9.697 2.263" Properties=species:S:1:pos:R:3 pbc="T T T"
Y -4.220 -14.423 0.129
Br 0.000 0.000 0.000
Cl -7.478 -25.555 0.229
Cl -0.963 -3.290 0.030
```

Properties
ΔE_f (raw) ... -131 kJ per mole of atoms
SG ... R-3m, No. 166
D(E_F) ... 3.25 states/eV/cell


Entry 16:
A geometry-optimized Y2BrCl2 structure, computed with PBE-GGA.

Geometry as extended XYZ:
```
10
Lattice="-1.757 1.405 3.102 -7.285 -4.273 -2.191 5.795 -7.122 4.142" Properties=species:S:1:pos:R:3 pbc="T T T"
Y -4.881 -6.113 0.004
Y 1.634 -3.876 5.049
Y -2.111 -7.179 2.056
Y -1.136 -2.810 2.997
Br -2.184 -4.527 0.813
Br -1.063 -5.462 4.240
Cl -0.061 -1.740 0.754
Cl -3.186 -8.249 4.300
Cl 2.478 -6.295 4.256
Cl -5.725 -3.694 0.798
```

Properties
ΔE_f (raw) ... -157 kJ per mole of atoms
SG ... C2/m, No. 12
D(E_F) ... 5.51 states/eV/cell


Entry 17:
A geometry-optimized YBr2Cl structure, computed with PBE-GGA.

Geometry as extended XYZ:
```
4
Lattice="-0.280 2.057 -3.557 -7.182 2.434 1.973 -3.565 5.910 3.698" Properties=species:S:1:pos:R:3 pbc="T T T"
Y -8.200 7.286 2.475
Br -9.467 7.349 4.996
Br -6.653 5.166 3.511
Cl -2.827 3.114 -0.360
```

Properties
ΔE_f (raw) ... -192 kJ per mole of atoms
SG ... P2/m, No. 10
D(E_F) ... 0.00 states/eV/cell


Entry 18:
A geometry-optimized YBr2Cl structure, computed with PBE-GGA.

Geometry as extended XYZ:
```
4
Lattice="-3.784 4.869 -2.001 -1.882 2.543 -5.659 -5.537 0.669 -3.306" Properties=species:S:1:pos:R:3 pbc="T T T"
Y -8.402 6.061 -8.225
Br -0.268 0.193 -0.262
Br -5.334 3.847 -5.221
Cl -2.801 2.020 -2.742
```

Properties
ΔE_f (raw) ... -137 kJ per mole of atoms
SG ... R-3m, No. 166
D(E_F) ... 0.00 states/eV/cell


Entry 19:
A geometry-optimized YBr2Cl structure, computed with PBE-GGA.

Geometry as extended XYZ:
```
4
Lattice="2.365 0.000 9.058 -1.183 2.049 9.058 -1.183 -2.049 9.058" Properties=species:S:1:pos:R:3 pbc="T T T"
Y 0.000 0.000 13.588
Br 0.000 0.000 24.276
Br 0.000 0.000 2.900
Cl 0.000 0.000 0.000
```

Properties
ΔE_f (raw) ... -112 kJ per mole of atoms
SG ... R-3m, No. 166
D(E_F) ... 2.88 states/eV/cell


Entry 20:
A geometry-optimized YBrCl2 structure, computed with PBE-GGA.

Geometry as extended XYZ:
```
4
Lattice="7.504 0.165 -0.214 6.541 3.681 -0.214 2.095 0.574 4.971" Properties=species:S:1:pos:R:3 pbc="T T T"
Y 12.106 3.314 3.408
Br 4.035 1.105 1.136
Cl 3.362 0.921 4.402
Cl 6.804 1.863 2.841
```

Properties
ΔE_f (raw) ... -183 kJ per mole of atoms
SG ... C2/m, No. 12
D(E_F) ... 0.00 states/eV/cell